No. 1
# Li3ScCu8 PBE-GGA relaxed
# V (Å³/cell): 507.38
# E_tot (eV/atom): -3.8476
data_Li3ScCu8
_cell_length_a 4.9235
_cell_length_b 4.9235
_cell_length_c 24.1689
_cell_angle_alpha 90.00
_cell_angle_beta 90.00
_cell_angle_gamma 120.00
_space_group_name_H-M_alt 'R 3 m'
_space_group_IT_number 160
_space_group_name_Hall 'R 3 -2"'
loop_
_atom_site_label
_atom_site_fract_x
_atom_site_fract_y
_atom_site_fract_z
Li1 0.0000 0.0000 0.0000
Li2 0.0000 0.0000 0.1195
Li3 0.0000 0.0000 0.6303
Sc1 0.0000 0.0000 0.5012
Cu1 0.0000 0.0000 0.3138
Cu2 0.0000 0.0000 0.8133
Cu3 0.0005 0.5003 0.0638
Cu4 0.1675 0.3351 0.8969



No. 2
# TmPu2Cd PBE-GGA relaxed
# V (Å³/cell): 104.48
# E_tot (eV/atom): -8.4744
data_TmPu2Cd
_cell_length_a 4.467
_cell_length_b 4.467
_cell_length_c 5.237
_cell_angle_alpha 90.00
_cell_angle_beta 90.00
_cell_angle_gamma 90.00
_space_group_name_H-M_alt 'P 4/m m m'
_space_group_IT_number 123
_space_group_name_Hall '-P 4 2'
loop_
_atom_site_label
_atom_site_fract_x
_atom_site_fract_y
_atom_site_fract_z
Tm1 0.000 0.000 0.000
Pu1 0.000 0.500 0.500
Cd1 0.500 0.500 0.000



No. 3
# LiNb3Ru PBE-GGA relaxed
# V (Å³/cell): 82.67
# Excess energy over the best structure of this formula in the dataset (meV/atom): 138
data_LiNb3Ru
_cell_length_a 4.356
_cell_length_b 4.356
_cell_length_c 4.356
_cell_angle_alpha 90.00
_cell_angle_beta 90.00
_cell_angle_gamma 90.00
_space_group_name_H-M_alt 'P m -3 m'
_space_group_IT_number 221
_space_group_name_Hall '-P 4 2 3'
loop_
_atom_site_label
_atom_site_fract_x
_atom_site_fract_y
_atom_site_fract_z
Li1 0.000 0.000 0.000
Nb1 0.000 0.000 0.500
Ru1 0.500 0.500 0.500



No. 4
# V2Ni3Pd3 PBE-GGA relaxed
# V (Å³/cell): 210.95
# E_tot (eV/atom): -6.5059
data_V2Ni3Pd3
_cell_length_a 15.754
_cell_length_b 3.616
_cell_length_c 3.815
_cell_angle_alpha 90.00
_cell_angle_beta 103.94
_cell_angle_gamma 90.00
_space_group_name_H-M_alt 'C 1 2/m 1'
_space_group_IT_number 12
_space_group_name_Hall '-C 2y'
loop_
_atom_site_label
_atom_site_fract_x
_atom_site_fract_y
_atom_site_fract_z
V1 0.250 0.000 0.250
Ni1 0.000 0.000 0.000
Ni2 0.132 0.000 0.632
Pd1 0.000 0.500 0.500
Pd2 0.127 0.500 0.127



Question: Look up the V of the second one.
Answer: 104.48 Å³/cell



Question: Look up the V of the first one.
Answer: 507.38 Å³/cell



Please write out number 3 again, unchanged.
# LiNb3Ru PBE-GGA relaxed
# V (Å³/cell): 82.67
# Excess energy over the best structure of this formula in the dataset (meV/atom): 138
data_LiNb3Ru
_cell_length_a 4.356
_cell_length_b 4.356
_cell_length_c 4.356
_cell_angle_alpha 90.00
_cell_angle_beta 90.00
_cell_angle_gamma 90.00
_space_group_name_H-M_alt 'P m -3 m'
_space_group_IT_number 221
_space_group_name_Hall '-P 4 2 3'
loop_
_atom_site_label
_atom_site_fract_x
_atom_site_fract_y
_atom_site_fract_z
Li1 0.000 0.000 0.000
Nb1 0.000 0.000 0.500
Ru1 0.500 0.500 0.500